[1]
Ca2ZnP | PBE-GGA | relaxed

Energy of formation from the pure elements = -0.6067 eV per atom
Final energy = -0.2410 Ry per atom

a b c (Å): 3.592 3.753 6.850
angles (deg): 90.00 90.00 90.00
Atoms (fractional coordinates):
1 Ca 0.000 0.000 0.224
2 Ca 0.000 0.000 0.776
3 Zn 0.500 0.500 0.500
4 P 0.500 0.500 0.000

---

[2]
CaZnP3 | PBE-GGA | relaxed

Energy of formation from the pure elements = 1.1504 eV per atom
Final energy = -0.2022 Ry per atom

a b c (Å): 5.181 5.181 5.181
angles (deg): 90.00 90.00 90.00
Atoms (fractional coordinates):
1 Ca 0.000 0.000 0.000
2 Zn 0.500 0.500 0.500
3 P 0.000 0.000 0.500
4 P 0.000 0.500 0.000
5 P 0.500 0.000 0.000

---

[3]
CaZnP | PBE-GGA | relaxed

Energy of formation from the pure elements = -0.6534 eV per atom
Final energy = -0.2608 Ry per atom

a b c (Å): 5.944 5.944 5.978
angles (deg): 105.87 105.87 39.43
Atoms (fractional coordinates):
1 Ca 0.000 0.000 0.000
2 Ca 0.645 0.645 0.577
3 Zn 0.363 0.363 0.569
4 Zn 0.737 0.737 0.127
5 P 0.285 0.285 0.897
6 P 0.942 0.942 0.457

---

[4]
CaZn2P | PBE-GGA | relaxed

Energy of formation from the pure elements = -0.3988 eV per atom
Final energy = -0.2123 Ry per atom

a b c (Å): 3.825 3.825 5.518
angles (deg): 90.00 90.00 90.00
Atoms (fractional coordinates):
1 Ca 0.000 0.000 0.000
2 Zn 0.000 0.500 0.512
3 Zn 0.500 0.000 0.512
4 P 0.500 0.500 0.202

---

[5]
CaZn2P2 | PBE-GGA | relaxed

Energy of formation from the pure elements = -0.6965 eV per atom
Final energy = -0.2771 Ry per atom

a b c (Å): 4.045 4.045 6.834
angles (deg): 90.00 90.00 120.00
Atoms (fractional coordinates):
1 Ca 0.000 0.000 0.000
2 Zn 0.333 0.667 0.633
3 Zn 0.667 0.333 0.367
4 P 0.333 0.667 0.262
5 P 0.667 0.333 0.738

---

[6]
CaZnP | PBE-GGA | relaxed

Energy of formation from the pure elements = -0.4586 eV per atom
Final energy = -0.2465 Ry per atom

a b c (Å): 8.098 7.739 6.780
angles (deg): 67.42 61.94 50.64
Atoms (fractional coordinates):
1 Ca 0.026 0.026 0.724
2 Ca 0.276 0.276 0.974
3 Ca 0.724 0.724 0.026
4 Ca 0.974 0.974 0.276
5 Zn 0.000 0.500 0.500
6 Zn 0.500 0.000 0.500
7 Zn 0.500 0.500 0.000
8 Zn 0.500 0.500 0.500
9 P 0.119 0.631 0.631
10 P 0.369 0.881 0.881
11 P 0.631 0.119 0.119
12 P 0.881 0.369 0.369

---

[7]
CaZnP3 | PBE-GGA | relaxed

Energy of formation from the pure elements = 0.2277 eV per atom
Final energy = -0.2700 Ry per atom

a b c (Å): 4.721 4.721 4.721
angles (deg): 90.00 90.00 90.00
Atoms (fractional coordinates):
1 Ca 0.000 0.000 0.000
2 Zn 0.500 0.500 0.500
3 P 0.000 0.500 0.500
4 P 0.500 0.000 0.500
5 P 0.500 0.500 0.000

---

[8]
CaZn2P | PBE-GGA | relaxed

Energy of formation from the pure elements = -0.1495 eV per atom
Final energy = -0.1940 Ry per atom

a b c (Å): 4.818 4.818 4.818
angles (deg): 60.00 60.00 60.00
Atoms (fractional coordinates):
1 Ca 0.000 0.000 0.000
2 Zn 0.500 0.500 0.500
3 Zn 0.750 0.750 0.750
4 P 0.250 0.250 0.250

---

- What is the energy of formation from the pure elements in the fifth record?
  -0.6965 eV per atom